Material: LiV2P4H2O16
Method: DFT, PBE with a Hubbard U
State: optimized geometry

Results
Energy in Ry per atom: -0.50973

Lattice parameters (Å, degrees): 7.7760 7.9241 9.7915 90.00 113.47 90.00
Last column: nearest neighbours and their distance in Å.
Fractional positions:
Li1 0.6052 0.1330 0.7244  4 O 1.94-2.15
Li2 0.3948 0.6330 0.2756  4 O 1.94-2.15
P1 0.0252 0.6384 0.5729  4 O 1.50-1.59
P2 0.0152 0.6564 0.0700  4 O 1.51-1.61
P3 0.4889 0.3449 0.4295  4 O 1.52-1.56
P4 0.5111 0.8449 0.5705  4 O 1.52-1.56
P5 0.9748 0.1384 0.4271  4 O 1.50-1.59
P6 0.4829 0.3494 0.9267  4 O 1.53-1.56
P7 0.9848 0.1564 0.9300  4 O 1.51-1.61
P8 0.5171 0.8494 0.0733  4 O 1.53-1.56
O1 0.6182 0.3272 0.5964  1 P 1.55
O2 0.5714 0.6714 0.1447  1 P 1.56
O3 0.3844 0.8388 0.9047  1 P 1.56
O4 0.3818 0.8272 0.4036  1 P 1.55
O5 0.8858 0.6548 0.4055  1 P 1.57
O6 0.9112 0.5629 0.6561  1 P 1.54
O7 0.3049 0.4493 0.9038  1 H 1.05
O8 0.8026 0.0405 0.4087  1 H 1.37, 1 P 1.50
O9 0.0816 0.8232 0.6387  1 P 1.59
O10 0.4286 0.1714 0.8553  1 P 1.56
O11 0.9184 0.3232 0.3613  1 P 1.59
O12 0.5672 0.6696 0.6364  1 P 1.52
O13 0.1974 0.5405 0.5913  1 H 1.37, 1 P 1.50
O14 0.0933 0.0557 0.8460  1 P 1.61
O15 0.0888 0.0629 0.3439  1 P 1.54
O16 0.3126 0.4544 0.4032  1 H 1.07
O17 0.4106 0.9475 0.6534  1 P 1.56
O18 0.6156 0.3388 0.0953  1 P 1.56
O19 0.5894 0.4475 0.3466  1 P 1.56
O20 0.8727 0.6710 0.9075  1 P 1.54
O21 0.9395 0.3318 0.8597  1 P 1.53
O22 0.6951 0.9493 0.0962  1 H 1.05
O23 0.1142 0.1548 0.5945  1 P 1.57
O24 0.8063 0.0619 0.9079  1 H 1.45, 1 P 1.51
O25 0.9067 0.5557 0.1540  1 P 1.61
O26 0.1273 0.1710 0.0925  1 P 1.54
O27 0.0605 0.8318 0.1403  1 P 1.53
O28 0.6874 0.9544 0.5968  1 H 1.07
O29 0.4328 0.1696 0.3636  1 P 1.52
O30 0.1937 0.5619 0.0921  1 H 1.45, 1 P 1.51
O31 0.4068 0.9359 0.1545  1 P 1.54
O32 0.5932 0.4359 0.8455  1 P 1.54
H1 0.7393 0.9904 0.0138  1 O 1.05
H2 0.2669 0.4901 0.4892  1 O 1.07
H3 0.7331 0.9901 0.5108  1 O 1.07
H4 0.2607 0.4904 0.9862  1 O 1.05
V1 0.2375 0.9935 0.7488  6 O 1.80-2.01
V2 0.7547 0.5052 0.7526  6 O 1.87-2.04
V3 0.7625 0.4935 0.2512  6 O 1.80-2.01
V4 0.2453 0.0052 0.2474  6 O 1.87-2.04